a:
Density functional theory data (PBE-GGA) for crystalline CaMn2Mo at its relaxed geometry.

a = 4.4157 Å, b = 4.4157 Å, c = 6.3685 Å
α = 85.81°, β = 85.81°, γ = 38.19°
Closest atoms and distances in Å follow each position.
Atoms (fractional coordinates):
Ca: 0.2500 0.2500 0.2500  2 Ca 2.89, 2 Mn 3.00
Mn: 0.4886 0.4886 0.5786  3 Mo 2.51-2.63, 2 Mn 2.64
Mn: 0.0114 0.0114 0.9214  3 Mo 2.51-2.63, 2 Mn 2.64
Mo: 0.7500 0.7500 0.7500  6 Mn 2.51-2.63

---

b:
Density functional theory data (PBE-GGA) for crystalline CaMn2Mo at its relaxed geometry.

a = 4.6224 Å, b = 4.6224 Å, c = 4.6224 Å
α = 60.00°, β = 60.00°, γ = 60.00°
Closest atoms and distances in Å follow each position.
Atoms (fractional coordinates):
Mn: 0.0000 0.0000 0.0000  4 Mo 2.83, 4 Mn 2.83
Mn: 0.7500 0.7500 0.7500  4 Mn 2.83, 4 Ca 2.83
Mo: 0.2500 0.2500 0.2500  4 Ca 2.83, 4 Mn 2.83
Ca: 0.5000 0.5000 0.5000  4 Mn 2.83, 4 Mo 2.83

---

c:
Density functional theory data (PBE-GGA) for crystalline CaMn2Mo at its relaxed geometry.

a = 5.5369 Å, b = 5.5369 Å, c = 5.5369 Å
α = 148.97°, β = 127.18°, γ = 62.54°
Closest atoms and distances in Å follow each position.
Atoms (fractional coordinates):
Mo: 0.5421 0.5421 0.0000  2 Mn 2.40
Mn: 0.9638 0.9638 0.0000  2 Mn 2.58
Mn: 0.7411 0.2411 0.5000  2 Mo 2.40, 2 Mn 2.58
Ca: 0.2529 0.7529 0.5000  8 Mn 2.88-3.17, 2 Ca 2.96, 4 Mo 3.11-3.17

---

d:
Density functional theory data (PBE-GGA) for crystalline CaMn2Mo at its relaxed geometry.

a = 3.0358 Å, b = 4.7296 Å, c = 4.7296 Å
α = 90.00°, β = 90.00°, γ = 90.00°
Closest atoms and distances in Å follow each position.
Atoms (fractional coordinates):
Ca: 0.5000 0.0000 0.5000  8 Mn 2.81, 2 Ca 3.04
Mo: 0.5000 0.5000 0.0000  8 Mn 2.81, 2 Mo 3.04
Mn: 0.0000 0.5000 0.5000  4 Mo 2.81, 4 Ca 2.81, 2 Mn 3.04
Mn: 0.0000 0.0000 0.0000  4 Mo 2.81, 4 Ca 2.81, 2 Mn 3.04

---

Tell me which of them is the most stable. Sure, it is a.

---

a:
Density functional theory data (PBE-GGA) for crystalline CaMn2Mo at its relaxed geometry.

a = 9.2514 Å, b = 9.2514 Å, c = 9.2514 Å
α = 18.64°, β = 18.64°, γ = 18.64°
Closest atoms and distances in Å follow each position.
Atoms (fractional coordinates):
Mn: 0.9860 0.9860 0.9860  3 Mn 2.64
Mn: 0.2463 0.2463 0.2463  3 Mo 2.45, 3 Mn 2.64
Mo: 0.5158 0.5158 0.5158  3 Mn 2.45
Ca: 0.7519 0.7519 0.7519  6 Ca 3.00, 3 Mo 3.16, 3 Mn 3.21

---

b:
Density functional theory data (PBE-GGA) for crystalline CaMn2Mo at its relaxed geometry.

a = 3.1775 Å, b = 3.1775 Å, c = 7.2170 Å
α = 90.00°, β = 90.00°, γ = 90.00°
Closest atoms and distances in Å follow each position.
Atoms (fractional coordinates):
Mn: 0.0000 0.0000 0.4304  4 Mo 2.60, 1 Mn 2.60
Mn: 0.0000 0.0000 0.0696  4 Mo 2.60, 1 Mn 2.60
Ca: 0.5000 0.5000 0.7500  4 Ca 3.18, 8 Mn 3.22
Mo: 0.5000 0.5000 0.2500  8 Mn 2.60

---

Tell me which of them is the most stable. Sure, it is b.

---

a:
Density functional theory data (PBE-GGA) for crystalline CaMnMo2 at its relaxed geometry.

a = 4.8322 Å, b = 4.8322 Å, c = 8.8182 Å
α = 74.10°, β = 74.10°, γ = 90.00°
Closest atoms and distances in Å follow each position.
Atoms (fractional coordinates):
Mo: 0.8597 0.1250 0.2500  2 Mn 2.37, 2 Mo 2.42
Mo: 0.3750 0.1403 0.7500  2 Mn 2.37, 2 Mo 2.42
Mo: 0.8903 0.6250 0.2500  2 Mn 2.37, 2 Mo 2.42
Mo: 0.8750 0.1097 0.7500  2 Mn 2.37, 2 Mo 2.42
Ca: 0.2500 0.7500 0.5000  8 Mo 3.33-3.43, 4 Mn 3.42
Ca: 0.5000 0.5000 0.0000  8 Mo 3.33-3.43, 4 Mn 3.42
Mn: 0.7500 0.2500 0.5000  4 Mo 2.37
Mn: 0.0000 0.0000 0.0000  4 Mo 2.37

---

b:
Density functional theory data (PBE-GGA) for crystalline CaMnMo2 at its relaxed geometry.

a = 3.5670 Å, b = 2.9873 Å, c = 7.4269 Å
α = 72.10°, β = 90.00°, γ = 90.00°
Closest atoms and distances in Å follow each position.
Atoms (fractional coordinates):
Mn: 0.5000 0.7500 0.7500  4 Mo 2.41
Ca: 0.5000 0.2500 0.2500  2 Ca 2.99, 8 Mo 3.31-3.33
Mo: 0.0000 0.4980 0.5851  2 Mn 2.41, 1 Mo 2.44
Mo: 0.0000 0.0020 0.9149  2 Mn 2.41, 1 Mo 2.44

---

c:
Density functional theory data (PBE-GGA) for crystalline CaMnMo2 at its relaxed geometry.

a = 5.4806 Å, b = 5.4806 Å, c = 5.4806 Å
α = 138.60°, β = 138.60°, γ = 59.98°
Closest atoms and distances in Å follow each position.
Atoms (fractional coordinates):
Ca: 0.2500 0.7500 0.5000  4 Mn 2.74, 8 Mo 3.06
Mo: 0.0000 0.0000 0.0000  4 Mo 2.74, 4 Ca 3.06, 4 Mn 3.06
Mo: 0.5000 0.5000 0.0000  4 Mo 2.74, 4 Mn 3.06, 4 Ca 3.06
Mn: 0.7500 0.2500 0.5000  4 Ca 2.74, 8 Mo 3.06

---

d:
Density functional theory data (PBE-GGA) for crystalline CaMnMo2 at its relaxed geometry.

a = 4.4854 Å, b = 4.4854 Å, c = 4.4854 Å
α = 60.00°, β = 60.00°, γ = 60.00°
Closest atoms and distances in Å follow each position.
Atoms (fractional coordinates):
Mo: 0.2500 0.2500 0.2500  4 Mn 2.75, 4 Ca 2.75
Mo: 0.7500 0.7500 0.7500  4 Mn 2.75, 4 Ca 2.75
Ca: 0.0000 0.0000 0.0000  8 Mo 2.75
Mn: 0.5000 0.5000 0.5000  8 Mo 2.75

---

Tell me which of them is the most stable. Sure, it is b.

---

a:
Density functional theory data (PBE-GGA) for crystalline CaMnMo3 at its relaxed geometry.

a = 4.6017 Å, b = 4.6017 Å, c = 4.6017 Å
α = 90.00°, β = 90.00°, γ = 90.00°
Closest atoms and distances in Å follow each position.
Atoms (fractional coordinates):
Mo: 0.5000 0.0000 0.0000  2 Mn 2.30
Mo: 0.0000 0.5000 0.0000  2 Mn 2.30
Mo: 0.0000 0.0000 0.5000  2 Mn 2.30
Mn: 0.0000 0.0000 0.0000  6 Mo 2.30
Ca: 0.5000 0.5000 0.5000  12 Mo 3.25

---

b:
Density functional theory data (PBE-GGA) for crystalline CaMnMo3 at its relaxed geometry.

a = 4.5139 Å, b = 4.5139 Å, c = 4.5139 Å
α = 90.00°, β = 90.00°, γ = 90.00°
Closest atoms and distances in Å follow each position.
Atoms (fractional coordinates):
Mo: 0.0000 0.0000 0.5000  2 Ca 2.26
Mo: 0.0000 0.5000 0.0000  2 Ca 2.26
Mo: 0.5000 0.0000 0.0000  2 Ca 2.26
Ca: 0.0000 0.0000 0.0000  6 Mo 2.26
Mn: 0.5000 0.5000 0.5000  12 Mo 3.19

---

Tell me which of them is the most stable. Sure, it is a.

---

a:
Density functional theory data (PBE-GGA) for crystalline Ca4MnN4 at its relaxed geometry.

a = 11.1453 Å, b = 4.9193 Å, c = 10.9012 Å
α = 90.00°, β = 90.00°, γ = 90.00°
Closest atoms and distances in Å follow each position.
Atoms (fractional coordinates):
Ca: 0.4407 0.2500 0.8883  5 N 2.39-2.51
Ca: 0.4038 0.7500 0.6847  4 N 2.46-2.53
Ca: 0.1297 0.2500 0.8419  4 N 2.28-2.56
Ca: 0.6297 0.2500 0.6581  4 N 2.28-2.56
Ca: 0.0962 0.2500 0.1847  4 N 2.46-2.53
Ca: 0.9407 0.2500 0.6117  5 N 2.39-2.51
Ca: 0.5593 0.7500 0.1117  5 N 2.39-2.51
Ca: 0.7699 0.2500 0.9739  4 N 2.33-2.54
Ca: 0.0593 0.7500 0.3883  5 N 2.39-2.51
Ca: 0.8703 0.7500 0.1581  4 N 2.28-2.56
Ca: 0.2301 0.7500 0.0261  4 N 2.33-2.54
Ca: 0.7301 0.7500 0.4739  4 N 2.33-2.54
Ca: 0.5962 0.2500 0.3153  4 N 2.46-2.53
Ca: 0.3703 0.7500 0.3419  4 N 2.28-2.56
Ca: 0.2699 0.2500 0.5261  4 N 2.33-2.54
Ca: 0.9038 0.7500 0.8153  4 N 2.46-2.53
N: 0.2375 0.7500 0.5265  1 Mn 1.78
N: 0.6760 0.7500 0.7005  1 Mn 1.70
N: 0.4251 0.2500 0.6693  5 Ca 2.28-2.48
N: 0.1760 0.7500 0.7995  1 Mn 1.70
N: 0.2625 0.2500 0.0265  1 Mn 1.78
N: 0.5749 0.7500 0.3307  5 Ca 2.28-2.48
N: 0.7625 0.2500 0.4735  1 Mn 1.78
N: 0.0130 0.2500 0.3940  1 Mn 1.69
N: 0.5130 0.2500 0.1060  1 Mn 1.69
N: 0.9251 0.2500 0.8307  5 Ca 2.28-2.48
N: 0.7375 0.7500 0.9735  1 Mn 1.78
N: 0.9870 0.7500 0.6060  1 Mn 1.69
N: 0.8240 0.2500 0.2005  1 Mn 1.70
N: 0.3240 0.2500 0.2995  1 Mn 1.70
N: 0.4870 0.7500 0.8940  1 Mn 1.69
N: 0.0749 0.7500 0.1693  5 Ca 2.28-2.48
Mn: 0.1323 0.7500 0.6499  3 N 1.69-1.78
Mn: 0.6323 0.7500 0.8501  3 N 1.69-1.78
Mn: 0.8677 0.2500 0.3501  3 N 1.69-1.78
Mn: 0.3677 0.2500 0.1499  3 N 1.69-1.78

---

b:
Density functional theory data (PBE-GGA) for crystalline Ca4MnN4 at its relaxed geometry.

a = 5.9465 Å, b = 6.0208 Å, c = 8.6434 Å
α = 71.92°, β = 79.81°, γ = 68.83°
Closest atoms and distances in Å follow each position.
Atoms (fractional coordinates):
N: 0.4848 0.8346 0.3425  1 Mn 1.89
N: 0.0295 0.2905 0.3903  1 Mn 1.88
N: 0.9220 0.8242 0.9095  1 Mn 1.87
N: 0.0780 0.1758 0.0905  1 Mn 1.87
N: 0.9705 0.7095 0.6097  1 Mn 1.88
N: 0.5348 0.6403 0.8058  1 Mn 1.88
N: 0.5152 0.1654 0.6575  1 Mn 1.89
N: 0.4652 0.3597 0.1942  1 Mn 1.88
Ca: 0.7244 0.2109 0.9744  4 N 2.39-2.49
Ca: 0.7297 0.4865 0.5710  5 N 2.38-2.58
Ca: 0.2071 0.4346 0.8357  5 N 2.41-2.60
Ca: 0.2756 0.7891 0.0256  4 N 2.39-2.49
Ca: 0.7694 0.0428 0.3815  4 N 2.45-2.56
Ca: 0.2306 0.9572 0.6185  4 N 2.45-2.56
Ca: 0.2703 0.5135 0.4290  5 N 2.38-2.58
Ca: 0.7929 0.5654 0.1643  5 N 2.41-2.60
Mn: 0.2756 0.1521 0.2455  4 N 1.87-1.89
Mn: 0.7244 0.8479 0.7545  4 N 1.87-1.89

---

Tell me which of them is the most stable. Sure, it is a.

---

a:
Density functional theory data (PBE-GGA) for crystalline Ca3Mn2N4 at its relaxed geometry.

a = 5.6362 Å, b = 9.5945 Å, c = 9.0740 Å
α = 90.00°, β = 90.00°, γ = 90.00°
Closest atoms and distances in Å follow each position.
Atoms (fractional coordinates):
Ca: 0.1146 0.3436 0.9164  4 N 2.38-2.51
Ca: 0.2500 0.5000 0.5978  6 N 2.52-2.72
Ca: 0.2500 0.0000 0.9022  6 N 2.52-2.72
Ca: 0.7500 0.5000 0.4022  6 N 2.52-2.72
Ca: 0.6146 0.1564 0.4164  4 N 2.38-2.51
Ca: 0.3854 0.6564 0.9164  4 N 2.38-2.51
Ca: 0.8854 0.6564 0.0836  4 N 2.38-2.51
Ca: 0.6146 0.3436 0.0836  4 N 2.38-2.51
Ca: 0.8854 0.8436 0.4164  4 N 2.38-2.51
Ca: 0.1146 0.1564 0.5836  4 N 2.38-2.51
Ca: 0.7500 0.0000 0.0978  6 N 2.52-2.72
Ca: 0.3854 0.8436 0.5836  4 N 2.38-2.51
N: 0.5036 0.4156 0.8367  2 Mn 1.86-1.95
N: 0.4964 0.5844 0.1633  2 Mn 1.86-1.95
N: 0.0036 0.0844 0.3367  2 Mn 1.86-1.95
N: 0.5036 0.0844 0.6633  2 Mn 1.86-1.95
N: 0.9964 0.5844 0.8367  2 Mn 1.86-1.95
N: 0.9964 0.9156 0.6633  2 Mn 1.86-1.95
N: 0.3765 0.1424 0.1237  2 Mn 1.84-2.01
N: 0.1235 0.6424 0.3763  2 Mn 1.84-2.01
N: 0.0036 0.4156 0.1633  2 Mn 1.86-1.95
N: 0.8765 0.1424 0.8763  2 Mn 1.84-2.01
N: 0.3765 0.3576 0.3763  2 Mn 1.84-2.01
N: 0.6235 0.8576 0.8763  2 Mn 1.84-2.01
N: 0.1235 0.8576 0.1237  2 Mn 1.84-2.01
N: 0.8765 0.3576 0.6237  2 Mn 1.84-2.01
N: 0.6235 0.6424 0.6237  2 Mn 1.84-2.01
N: 0.4964 0.9156 0.3367  2 Mn 1.86-1.95
Mn: 0.7500 0.0000 0.7658  4 N 1.84-1.86
Mn: 0.6485 0.2500 0.7500  4 N 1.95-2.01
Mn: 0.2500 0.5000 0.2658  4 N 1.84-1.86
Mn: 0.7500 0.5000 0.7342  4 N 1.84-1.86
Mn: 0.3515 0.7500 0.2500  4 N 1.95-2.01
Mn: 0.8515 0.7500 0.7500  4 N 1.95-2.01
Mn: 0.1485 0.2500 0.2500  4 N 1.95-2.01
Mn: 0.2500 0.0000 0.2342  4 N 1.84-1.86

---

b:
Density functional theory data (PBE-GGA) for crystalline Ca3Mn2N4 at its relaxed geometry.

a = 6.7406 Å, b = 8.2660 Å, c = 5.3313 Å
α = 90.00°, β = 92.08°, γ = 127.82°
Closest atoms and distances in Å follow each position.
Atoms (fractional coordinates):
Ca: 0.2389 0.2536 0.5419  5 N 2.47-2.60
Ca: 0.0000 0.5980 0.7500  6 N 2.43-2.58
Ca: 0.7611 0.0147 0.9581  5 N 2.47-2.60
Ca: 0.0000 0.4020 0.2500  6 N 2.43-2.58
Ca: 0.2389 0.9853 0.0419  5 N 2.47-2.60
Ca: 0.7611 0.7464 0.4581  5 N 2.47-2.60
Mn: 0.4119 0.5799 0.9165  4 N 1.85-1.95
Mn: 0.4119 0.8320 0.4165  4 N 1.85-1.95
Mn: 0.5881 0.1680 0.5835  4 N 1.85-1.95
Mn: 0.5881 0.4201 0.0835  4 N 1.85-1.95
N: 0.3361 0.7326 0.0887  2 Mn 1.85-1.88
N: 0.2422 0.9423 0.5247  2 Mn 1.90-1.95
N: 0.7578 0.7001 0.9753  2 Mn 1.90-1.95
N: 0.2422 0.2999 0.0247  2 Mn 1.90-1.95
N: 0.6639 0.2674 0.9113  2 Mn 1.85-1.88
N: 0.3361 0.6035 0.5887  2 Mn 1.85-1.88
N: 0.7578 0.0577 0.4753  2 Mn 1.90-1.95
N: 0.6639 0.3965 0.4113  2 Mn 1.85-1.88

---

Tell me which of them is the most stable. Sure, it is a.

---

a:
Density functional theory data (PBE-GGA) for crystalline CaMn3N at its relaxed geometry.

a = 4.7779 Å, b = 4.7779 Å, c = 4.7779 Å
α = 90.00°, β = 90.00°, γ = 90.00°
Closest atoms and distances in Å follow each position.
Atoms (fractional coordinates):
Ca: 0.0000 0.0000 0.0000  6 Mn 2.39
Mn: 0.0000 0.0000 0.5000  2 Ca 2.39
Mn: 0.5000 0.0000 0.0000  2 Ca 2.39
Mn: 0.0000 0.5000 0.0000  2 Ca 2.39
N: 0.5000 0.5000 0.5000  12 Mn 3.38

---

b:
Density functional theory data (PBE-GGA) for crystalline CaMn3N at its relaxed geometry.

a = 4.0813 Å, b = 4.0813 Å, c = 4.0813 Å
α = 90.00°, β = 90.00°, γ = 90.00°
Closest atoms and distances in Å follow each position.
Atoms (fractional coordinates):
Mn: 0.0000 0.0000 0.5000  2 N 2.04
Mn: 0.0000 0.5000 0.0000  2 N 2.04
Mn: 0.5000 0.0000 0.0000  2 N 2.04
Ca: 0.5000 0.5000 0.5000  12 Mn 2.89
N: 0.0000 0.0000 0.0000  6 Mn 2.04

---

Tell me which of them is the most stable. Sure, it is b.

---

a:
Density functional theory data (PBE-GGA) for crystalline Ca3MnN at its relaxed geometry.

a = 6.5305 Å, b = 6.5305 Å, c = 6.5305 Å
α = 90.00°, β = 90.00°, γ = 90.00°
Closest atoms and distances in Å follow each position.
Atoms (fractional coordinates):
Ca: 0.0000 0.0000 0.5000  2 N 3.27
Ca: 0.0000 0.5000 0.0000  2 N 3.27
Ca: 0.5000 0.0000 0.0000  2 N 3.27
N: 0.0000 0.0000 0.0000  6 Ca 3.27
Mn: 0.5000 0.5000 0.5000  12 Ca 4.62

---

b:
Density functional theory data (PBE-GGA) for crystalline Ca3MnN at its relaxed geometry.

a = 5.2659 Å, b = 5.2659 Å, c = 5.2659 Å
α = 90.00°, β = 90.00°, γ = 90.00°
Closest atoms and distances in Å follow each position.
Atoms (fractional coordinates):
Ca: 0.0000 0.0000 0.5000  2 Mn 2.63
Ca: 0.0000 0.5000 0.0000  2 Mn 2.63
Ca: 0.5000 0.0000 0.0000  2 Mn 2.63
Mn: 0.0000 0.0000 0.0000  6 Ca 2.63
N: 0.5000 0.5000 0.5000  12 Ca 3.72

---

Tell me which of them is the most stable. Sure, it is a.

---

a:
Density functional theory data (PBE-GGA) for crystalline Ca2MnN3 at its relaxed geometry.

a = 5.9072 Å, b = 5.9072 Å, c = 11.6077 Å
α = 90.00°, β = 90.00°, γ = 125.07°
Closest atoms and distances in Å follow each position.
Atoms (fractional coordinates):
Mn: 0.2543 0.7457 0.1607  4 N 1.75-1.77
Mn: 0.7457 0.2543 0.8393  4 N 1.75-1.77
Mn: 0.7543 0.2457 0.3393  4 N 1.75-1.77
Mn: 0.2457 0.7543 0.6607  4 N 1.75-1.77
N: 0.4207 0.5793 0.1348  1 Mn 1.77
N: 0.5364 0.9636 0.7500  2 Mn 1.76
N: 0.9636 0.5364 0.2500  2 Mn 1.76
N: 0.6566 0.3434 0.4617  1 Mn 1.75
N: 0.0793 0.9207 0.6348  1 Mn 1.77
N: 0.9207 0.0793 0.3652  1 Mn 1.77
N: 0.1566 0.8434 0.0383  1 Mn 1.75
N: 0.4636 0.0364 0.2500  2 Mn 1.76
N: 0.3434 0.6566 0.5383  1 Mn 1.75
N: 0.0364 0.4636 0.7500  2 Mn 1.76
N: 0.8434 0.1566 0.9617  1 Mn 1.75
N: 0.5793 0.4207 0.8652  1 Mn 1.77
Ca: 0.9487 0.0513 0.1444  3 N 2.39-2.58
Ca: 0.5513 0.4487 0.6444  3 N 2.39-2.58
Ca: 0.1397 0.8603 0.4227  5 N 2.39-2.54
Ca: 0.3603 0.6397 0.9227  5 N 2.39-2.54
Ca: 0.0513 0.9487 0.8556  3 N 2.39-2.58
Ca: 0.8603 0.1397 0.5773  5 N 2.39-2.54
Ca: 0.6397 0.3603 0.0773  5 N 2.39-2.54
Ca: 0.4487 0.5513 0.3556  3 N 2.39-2.58

---

b:
Density functional theory data (PBE-GGA) for crystalline Ca2MnN3 at its relaxed geometry.

a = 5.1670 Å, b = 6.3602 Å, c = 6.3602 Å
α = 121.02°, β = 90.00°, γ = 90.00°
Closest atoms and distances in Å follow each position.
Atoms (fractional coordinates):
Mn: 0.5468 0.1682 0.1682  4 N 1.77-1.80
Mn: 0.0468 0.8318 0.8318  4 N 1.77-1.80
N: 0.8786 0.0826 0.0826  2 Mn 1.80
N: 0.0005 0.8282 0.5540  1 Mn 1.77
N: 0.3786 0.9174 0.9174  2 Mn 1.80
N: 0.0005 0.5540 0.8282  1 Mn 1.77
N: 0.5005 0.4460 0.1718  1 Mn 1.77
N: 0.5005 0.1718 0.4460  1 Mn 1.77
Ca: 0.5158 0.5326 0.8454  4 N 2.36-2.51
Ca: 0.0158 0.4674 0.1546  4 N 2.36-2.51
Ca: 0.5158 0.8454 0.5326  4 N 2.36-2.51
Ca: 0.0158 0.1546 0.4674  4 N 2.36-2.51

---

Tell me which of them is the most stable. Sure, it is a.